Entry from Alexandria: a relaxed structure of LaAl2I (PBE).

Results
Theoretical density ... 4749 kg/m3
Distance to the lowest polymorph of the same formula ... 0.51 eV per formula unit

Cell lengths 5.4075, 5.4075, 5.4075 Å; angles 60.00, 60.00, 60.00 degrees
With the nearest neighbours (Å) after each atom.
Fractional coordinates of all 4 atoms:
La  0.0000  0.0000  0.0000  8 Al 3.31
Al  0.2500  0.2500  0.2500  4 La 3.31, 4 I 3.31
Al  0.7500  0.7500  0.7500  4 I 3.31, 4 La 3.31
I  0.5000  0.5000  0.5000  8 Al 3.31

***

Entry from Alexandria: a relaxed structure of LaFeTe2 (PBE).

Results
Final energy ... -22.41 eV for the cell shown
Theoretical density ... 6211 kg/m3

Cell lengths 4.2831, 4.5530, 6.5295 Å; angles 90.00, 109.14, 90.00 degrees
With the nearest neighbours (Å) after each atom.
Fractional coordinates of all 4 atoms:
La  0.0000  0.0000  0.0000  7 Te 3.31-3.56, 4 Fe 3.45-3.46
Fe  0.3793  0.5000  0.7627  3 Te 2.55-2.56
Te  0.2878  0.0000  0.5773  2 Fe 2.55
Te  0.5884  0.5000  0.1773  1 Fe 2.56

***

Entry from Alexandria: a relaxed structure of MnAgTe2I (PBE).

Results
Theoretical density ... 6348 kg/m3
Distance to the lowest polymorph of the same formula ... 0.00 eV per formula unit

Cell lengths 4.8943, 4.8943, 5.9507 Å; angles 90.00, 90.00, 90.00 degrees
With the nearest neighbours (Å) after each atom.
Fractional coordinates of all 5 atoms:
Mn  0.0000  0.0000  0.0000  4 Te 2.45
Ag  0.5000  0.5000  0.5000  4 I 3.46, 8 Te 3.85
Te  0.0000  0.5000  0.0000  2 Mn 2.45
Te  0.5000  0.0000  0.0000  2 Mn 2.45
I  0.0000  0.0000  0.5000  2 Mn 2.98

***

Entry from Alexandria: a relaxed structure of TaTlHg (PBE).

Results
Theoretical density ... 14849 kg/m3
Formation energy from the elements ... 0.516 eV/atom
Distance to the lowest polymorph of the same formula ... 0.00 eV per formula unit

Cell lengths 3.1409, 3.1409, 7.6691 Å; angles 90.00, 90.00, 120.00 degrees
With the nearest neighbours (Å) after each atom.
Fractional coordinates of all 3 atoms:
Ta  0.0000  0.0000  0.0000  3 Hg 3.01, 3 Tl 3.10, 6 Ta 3.14
Tl  0.6667  0.3333  0.3282  3 Ta 3.10, 6 Tl 3.14, 3 Hg 3.29
Hg  0.3333  0.6667  0.6868  3 Ta 3.01, 6 Hg 3.14, 3 Tl 3.29